PuNi2BO6: optimized geometry, PBE+U.

Unit cell a=5.324 b=5.324 c=4.318 alpha=90.00 beta=90.00 gamma=90.00
Space group P4mm (No. 99)
One atom of each set of equivalent atoms:
Pu 0.000 0.000 0.000 (multiplicity 1)
Ni 0.000 0.500 0.278 (multiplicity 2)
B 0.500 0.500 0.948 (multiplicity 1)
O 0.000 0.000 0.522 (multiplicity 1)
O 0.279 0.279 0.094 (multiplicity 4)
O 0.500 0.500 0.641 (multiplicity 1)

## Properties
E ... -6.902 eV/atom